Entry from Alexandria: a relaxed ZrHgAs2Br crystal (PBE).

Cell lengths 5.269, 5.269, 5.364 Å; angles 90.00, 90.00, 90.00 degrees
Space group P4/mmm (No. 123)
Unique sites:
Zr 0.000 0.000 0.000
Hg 0.500 0.500 0.500
As 0.000 0.500 0.000
Br 0.000 0.000 0.500

Computed properties:
DOS(E_F) in states/eV/atom: 0.85
Formation energy from raw total energies in eV/atom: -0.087

***

Entry from Alexandria: a relaxed KBa2GeIr crystal (PBE).

Cell lengths 6.304, 6.304, 4.859 Å; angles 90.00, 90.00, 90.00 degrees
Space group P4/mmm (No. 123)
Unique sites:
K 0.000 0.000 0.000
Ba 0.000 0.500 0.500
Ge 0.500 0.500 0.000
Ir 0.500 0.500 0.500

Computed properties:
DOS(E_F) in states/eV/atom: 0.63
Energy of formation from the pure elements in eV per atom: -0.1618

***

Entry from Alexandria: a relaxed Tl3Ag2Cl4 crystal (PBE).

Cell lengths 14.811, 10.417, 7.247 Å; angles 90.00, 101.71, 90.00 degrees
Space group C2/c (No. 15)
Unique sites:
Tl 0.000 0.098 0.250
Tl 0.145 0.383 0.659
Ag 0.191 0.148 0.982
Cl 0.057 0.316 0.019
Cl 0.171 0.084 0.600

Computed properties:
DOS(E_F) in states/eV/atom: 0.20
Formation energy from raw total energies in eV/atom: -0.602

***

Entry from Alexandria: a relaxed CaTcI2N crystal (PBE).

Cell lengths 5.655, 5.655, 3.827 Å; angles 90.00, 90.00, 90.00 degrees
Space group P4/mmm (No. 123)
Unique sites:
Ca 0.000 0.000 0.000
Tc 0.500 0.500 0.500
I 0.000 0.500 0.500
N 0.500 0.500 0.000

Computed properties:
DOS(E_F) in states/eV/atom: 0.50
Formation energy from raw total energies in eV/atom: -0.205

***

Entry from Alexandria: a relaxed TlNi3Au crystal (PBE).

Cell lengths 4.729, 4.729, 4.729 Å; angles 90.00, 90.00, 90.00 degrees
Space group Pm-3m (No. 221)
Unique sites:
Tl 0.000 0.000 0.000
Ni 0.000 0.500 0.500
Au 0.500 0.500 0.500

Computed properties:
DOS(E_F) in states/eV/atom: 1.44
Energy of formation from the pure elements in eV per atom: 1.0274

***

Entry from Alexandria: a relaxed Ba2In2AsP2 crystal (PBE).

Cell lengths 4.285, 7.316, 8.191 Å; angles 66.55, 75.03, 73.04 degrees
Space group P-1 (No. 2)
Unique sites:
Ba 0.038 0.179 0.248
In 0.293 0.601 0.311
As 0.500 0.500 0.000
P 0.340 0.227 0.591

Computed properties:
DOS(E_F) in states/eV/atom: 0.52
Energy of formation from the pure elements in eV per atom: -0.5810

***

Entry from Alexandria: a relaxed CrPbI2 crystal (PBE).

Cell lengths 8.376, 8.376, 7.538 Å; angles 90.00, 90.00, 90.00 degrees
Space group I-42d (No. 122)
Unique sites:
Cr 0.000 0.000 0.000
Pb 0.000 0.000 0.500
I 0.194 0.750 0.125

Computed properties:
DOS(E_F) in states/eV/atom: 0.33
Formation energy from raw total energies in eV/atom: 0.149

***

Entry from Alexandria: a relaxed NbTeCl2 crystal (PBE).

Cell lengths 3.2003, 3.2003, 36.1495 Å; angles 90.00, 90.00, 120.00 degrees
Space group R-3m (No. 166, hexagonal axes)
Unique sites:
Nb 0.0000 0.0000 0.0000
Te 0.0000 0.0000 0.5000
Cl 0.0000 0.0000 0.3821

Computed properties:
DOS(E_F) in states/eV/atom: 0.76
Formation energy from raw total energies in eV/atom: -0.644